[1]
The following is a DFT calculation (PBE) of a relaxed structure of La2Tb6Y3Mg.

Lattice parameters (Å, degrees): 6.185 6.185 11.856 95.04 95.04 120.05
Fractional positions:
La 0.167 0.833 0.000
La 0.833 0.167 0.000
Tb 0.086 0.417 0.747
Tb 0.253 0.253 0.253
Tb 0.417 0.086 0.747
Tb 0.583 0.914 0.253
Tb 0.747 0.747 0.747
Tb 0.914 0.583 0.253
Y 0.000 0.000 0.500
Y 0.334 0.666 0.500
Y 0.666 0.334 0.500
Mg 0.500 0.500 0.000

Values from the calculation:
V   386.5 Å³/cell
Total energy   -4.865 eV per atom
Magnetization   0.00 μB/atom
Space-group type   C2/m, No. 12
Crystal system   monoclinic
Formation energy from the elements   0.2 eV per formula unit


[2]
The following is a DFT calculation (PBE) of a relaxed structure of TiTeAs3.

Lattice parameters (Å, degrees): 4.931 4.931 4.931 90.00 90.00 90.00
Fractional positions:
Ti 0.000 0.000 0.000
Te 0.500 0.500 0.500
As 0.000 0.000 0.500
As 0.000 0.500 0.000
As 0.500 0.000 0.000

Values from the calculation:
E above lowest polymorph   0 meV per atom
V   119.9 Å³/cell
ΔE_f (raw)   0.19 eV per atom
Total energy   -4.803 eV per atom
Magnetization   0.00 μB/atom
Space-group type   Pm-3m, No. 221
Crystal system   cubic


[3]
The following is a DFT calculation (PBE) of a relaxed structure of Rb2CuI3.

Lattice parameters (Å, degrees): 10.622 4.783 19.876 90.00 90.00 90.00
Fractional positions:
Rb 0.090 0.250 0.210
Rb 0.225 0.750 0.452
Rb 0.275 0.250 0.952
Rb 0.410 0.750 0.710
Rb 0.590 0.250 0.290
Rb 0.725 0.750 0.048
Rb 0.775 0.250 0.548
Rb 0.910 0.750 0.790
Cu 0.148 0.250 0.638
Cu 0.352 0.750 0.138
Cu 0.648 0.250 0.862
Cu 0.852 0.750 0.362
I 0.027 0.750 0.609
I 0.142 0.750 0.069
I 0.174 0.250 0.771
I 0.326 0.750 0.271
I 0.358 0.250 0.569
I 0.473 0.250 0.109
I 0.527 0.750 0.891
I 0.642 0.750 0.431
I 0.674 0.250 0.729
I 0.826 0.750 0.229
I 0.858 0.250 0.931
I 0.973 0.250 0.391

Values from the calculation:
V   1009.8 Å³/cell
ΔE_f (raw)   -1.03 eV per atom
Total energy   -2.808 eV per atom
Magnetization   0.00 μB/atom
Space-group type   Pnma, No. 62
Crystal system   orthorhombic


[4]
The following is a DFT calculation (PBE) of a relaxed structure of TcOs4Se.

Lattice parameters (Å, degrees): 5.161 5.161 5.161 60.00 60.00 60.00
Fractional positions:
Tc 0.000 0.000 0.000
Os 0.123 0.626 0.626
Os 0.626 0.123 0.626
Os 0.626 0.626 0.123
Os 0.626 0.626 0.626
Se 0.250 0.250 0.250

Values from the calculation:
V   97.2 Å³/cell
ΔE_f (raw)   1.09 eV per atom
Total energy   -8.704 eV per atom
Magnetization   0.00 μB/atom
Space-group type   F-43m, No. 216
Crystal system   cubic


[5]
The following is a DFT calculation (PBE) of a relaxed structure of BeNi12B6.

Lattice parameters (Å, degrees): 6.070 6.070 6.070 109.47 109.47 109.47
Fractional positions:
Be 0.000 0.000 0.000
Ni 0.115 0.297 0.818
Ni 0.182 0.480 0.297
Ni 0.182 0.885 0.703
Ni 0.297 0.182 0.480
Ni 0.297 0.818 0.115
Ni 0.480 0.297 0.182
Ni 0.520 0.703 0.818
Ni 0.703 0.182 0.885
Ni 0.703 0.818 0.520
Ni 0.818 0.115 0.297
Ni 0.818 0.520 0.703
Ni 0.885 0.703 0.182
B 0.123 0.500 0.623
B 0.377 0.877 0.500
B 0.500 0.377 0.877
B 0.500 0.623 0.123
B 0.623 0.123 0.500
B 0.877 0.500 0.377

Values from the calculation:
V   172.2 Å³/cell
Total energy   -6.170 eV per atom
Magnetization   0.00 μB/atom
Space-group type   Im-3, No. 204
Crystal system   cubic
Formation energy from the elements   -4.1 eV per formula unit


[6]
The following is a DFT calculation (PBE) of a relaxed structure of Li2ReTe.

Lattice parameters (Å, degrees): 4.946 4.946 4.937 110.60 110.60 37.68
Fractional positions:
Li 0.000 0.000 0.000
Li 0.247 0.247 0.884
Re 0.487 0.487 0.483
Te 0.756 0.756 0.418

Values from the calculation:
E above lowest polymorph   47 meV per atom
V   68.5 Å³/cell
ΔE_f (raw)   0.20 eV per atom
Total energy   -4.658 eV per atom
Magnetization   0.00 μB/atom
Space-group type   Cm, No. 8
Crystal system   monoclinic


[7]
The following is a DFT calculation (PBE) of a relaxed structure of Li2NpTaO8.

Lattice parameters (Å, degrees): 4.624 4.801 6.523 89.96 89.98 83.97
Fractional positions:
Li 0.001 0.001 0.269
Li 0.999 0.999 0.731
Np 0.500 0.500 0.000
Ta 0.500 0.500 0.500
O 0.250 0.640 0.268
O 0.250 0.640 0.732
O 0.278 0.204 0.000
O 0.363 0.099 0.500
O 0.637 0.901 0.500
O 0.722 0.796 0.000
O 0.750 0.360 0.268
O 0.750 0.360 0.732

Values from the calculation:
V   144.0 Å³/cell
ΔE_f (raw)   -2.16 eV per atom
Total energy   -7.852 eV per atom
Magnetization   0.00 μB/atom
Space-group type   P-1, No. 2
Crystal system   triclinic


[8]
The following is a DFT calculation (PBE) of a relaxed structure of BaSc4Tc.

Lattice parameters (Å, degrees): 5.954 5.954 5.954 60.00 60.00 60.00
Fractional positions:
Ba 0.000 0.000 0.000
Sc 0.136 0.621 0.621
Sc 0.621 0.136 0.621
Sc 0.621 0.621 0.136
Sc 0.621 0.621 0.621
Tc 0.250 0.250 0.250

Values from the calculation:
V   149.3 Å³/cell
Total energy   -5.535 eV per atom
Magnetization   0.00 μB/atom
Space-group type   F-43m, No. 216
Crystal system   cubic
Formation energy from the elements   4.4 eV per formula unit


[9]
The following is a DFT calculation (PBE) of a relaxed structure of EuHoZnIn.

Lattice parameters (Å, degrees): 5.316 5.316 5.316 60.00 60.00 60.00
Fractional positions:
Eu 0.000 0.000 0.000
Ho 0.500 0.500 0.500
Zn 0.250 0.250 0.250
In 0.750 0.750 0.750

Values from the calculation:
V   106.2 Å³/cell
Total energy   -5.065 eV per atom
Magnetization   1.83 μB/atom
Space-group type   F-43m, No. 216
Crystal system   cubic
Formation energy from the elements   -1.4 eV per formula unit


[10]
The following is a DFT calculation (PBE) of a relaxed structure of CaP2F.

Lattice parameters (Å, degrees): 4.663 4.663 4.663 60.00 60.00 60.00
Fractional positions:
Ca 0.000 0.000 0.000
P 0.250 0.250 0.250
P 0.750 0.750 0.750
F 0.500 0.500 0.500

Values from the calculation:
E above lowest polymorph   1264 meV per atom
V   71.7 Å³/cell
ΔE_f (raw)   -0.20 eV per atom
Total energy   -3.872 eV per atom
Magnetization   0.00 μB/atom
Space-group type   Fm-3m, No. 225
Crystal system   cubic


[11]
The following is a DFT calculation (PBE) of a relaxed structure of LiNd3Y2S6.

Lattice parameters (Å, degrees): 6.866 6.866 6.935 99.52 99.52 120.16
Fractional positions:
Li 0.000 0.000 0.000
Nd 0.165 0.835 0.500
Nd 0.500 0.500 0.500
Nd 0.835 0.165 0.500
Y 0.334 0.666 0.000
Y 0.666 0.334 0.000
S 0.078 0.406 0.234
S 0.249 0.249 0.769
S 0.406 0.078 0.234
S 0.594 0.922 0.766
S 0.751 0.751 0.231
S 0.922 0.594 0.766

Values from the calculation:
V   266.7 Å³/cell
ΔE_f (raw)   -1.96 eV per atom
Total energy   -6.454 eV per atom
Magnetization   0.00 μB/atom
Space-group type   C2/m, No. 12
Crystal system   monoclinic


[12]
The following is a DFT calculation (PBE) of a relaxed structure of TcOs2Cl.

Lattice parameters (Å, degrees): 2.835 4.076 5.201 90.00 105.10 90.00
Fractional positions:
Tc 0.000 0.000 0.000
Os 0.363 0.500 0.742
Os 0.637 0.500 0.258
Cl 0.000 0.000 0.500

Values from the calculation:
E above lowest polymorph   348 meV per atom
V   58.0 Å³/cell
ΔE_f (raw)   0.79 eV per atom
Total energy   -7.876 eV per atom
Magnetization   0.00 μB/atom
Space-group type   P2/m, No. 10
Crystal system   monoclinic


[13]
The following is a DFT calculation (PBE) of a relaxed structure of UNbRh6.

Lattice parameters (Å, degrees): 3.967 3.967 7.909 90.00 90.00 90.00
Fractional positions:
U 0.000 0.000 0.000
Nb 0.000 0.000 0.500
Rh 0.000 0.500 0.255
Rh 0.000 0.500 0.745
Rh 0.500 0.000 0.255
Rh 0.500 0.000 0.745
Rh 0.500 0.500 0.000
Rh 0.500 0.500 0.500

Values from the calculation:
V   124.4 Å³/cell
Total energy   -8.761 eV per atom
Magnetization   0.00 μB/atom
Space-group type   P4/mmm, No. 123
Crystal system   tetragonal
Formation energy from the elements   -4.6 eV per formula unit


[14]
The following is a DFT calculation (PBE) of a relaxed structure of TbHo2Er6Sc3.

Lattice parameters (Å, degrees): 5.998 5.998 11.405 95.02 95.02 119.95
Fractional positions:
Tb 0.000 0.000 0.000
Ho 0.333 0.667 0.000
Ho 0.667 0.333 0.000
Er 0.087 0.420 0.259
Er 0.247 0.247 0.741
Er 0.420 0.087 0.259
Er 0.580 0.913 0.741
Er 0.753 0.753 0.259
Er 0.913 0.580 0.741
Sc 0.167 0.833 0.500
Sc 0.500 0.500 0.500
Sc 0.833 0.167 0.500

Values from the calculation:
V   350.0 Å³/cell
Total energy   -4.970 eV per atom
Magnetization   0.00 μB/atom
Space-group type   C2/m, No. 12
Crystal system   monoclinic
Formation energy from the elements   0.5 eV per formula unit


[15]
The following is a DFT calculation (PBE) of a relaxed structure of MgCdPbCl6.

Lattice parameters (Å, degrees): 6.702 6.702 12.535 90.00 90.00 120.00
Fractional positions:
Mg 0.333 0.667 0.250
Mg 0.667 0.333 0.750
Cd 0.333 0.667 0.750
Cd 0.667 0.333 0.250
Pb 0.000 0.000 0.000
Pb 0.000 0.000 0.500
Cl 0.015 0.367 0.134
Cl 0.015 0.648 0.366
Cl 0.352 0.367 0.366
Cl 0.352 0.985 0.134
Cl 0.367 0.015 0.634
Cl 0.367 0.352 0.866
Cl 0.633 0.648 0.134
Cl 0.633 0.985 0.366
Cl 0.648 0.015 0.866
Cl 0.648 0.633 0.634
Cl 0.985 0.352 0.634
Cl 0.985 0.633 0.866

Values from the calculation:
V   487.6 Å³/cell
ΔE_f (raw)   -1.35 eV per atom
Total energy   -3.275 eV per atom
Magnetization   0.00 μB/atom
Space-group type   P-31c, No. 163
Crystal system   trigonal


[16]
The following is a DFT calculation (PBE) of a relaxed structure of LaNpP2.

Lattice parameters (Å, degrees): 7.590 7.590 7.590 30.49 30.49 30.49
Fractional positions:
La 0.000 0.000 0.000
Np 0.172 0.172 0.172
P 0.425 0.425 0.425
P 0.582 0.582 0.582

Values from the calculation:
E above lowest polymorph   186 meV per atom
V   99.8 Å³/cell
Total energy   -8.176 eV per atom
Magnetization   0.98 μB/atom
Space-group type   R3m, No. 160
Crystal system   trigonal
Formation energy from the elements   -4.0 eV per formula unit


[17]
The following is a DFT calculation (PBE) of a relaxed structure of AcTm3S6.

Lattice parameters (Å, degrees): 11.097 4.025 11.377 90.00 108.99 90.00
Fractional positions:
Ac 0.055 0.250 0.199
Ac 0.945 0.750 0.801
Tm 0.162 0.250 0.591
Tm 0.324 0.750 0.000
Tm 0.453 0.250 0.334
Tm 0.547 0.750 0.666
Tm 0.676 0.250 0.000
Tm 0.838 0.750 0.409
S 0.082 0.750 0.413
S 0.128 0.250 0.963
S 0.203 0.750 0.748
S 0.280 0.750 0.233
S 0.390 0.250 0.552
S 0.478 0.250 0.110
S 0.522 0.750 0.890
S 0.610 0.750 0.448
S 0.720 0.250 0.767
S 0.797 0.250 0.252
S 0.872 0.750 0.037
S 0.918 0.250 0.587

Values from the calculation:
V   480.5 Å³/cell
ΔE_f (raw)   -2.12 eV per atom
Total energy   -6.352 eV per atom
Magnetization   0.00 μB/atom
Space-group type   P2_1/m, No. 11
Crystal system   monoclinic


[18]
The following is a DFT calculation (PBE) of a relaxed structure of SrNb3Re.

Lattice parameters (Å, degrees): 4.998 4.998 4.998 90.00 90.00 90.00
Fractional positions:
Sr 0.000 0.000 0.000
Nb 0.000 0.500 0.500
Nb 0.500 0.000 0.500
Nb 0.500 0.500 0.000
Re 0.500 0.500 0.500

Values from the calculation:
E above lowest polymorph   0 meV per atom
V   124.9 Å³/cell
Total energy   -7.975 eV per atom
Magnetization   0.00 μB/atom
Space-group type   Pm-3m, No. 221
Crystal system   cubic
Formation energy from the elements   4.5 eV per formula unit


[19]
The following is a DFT calculation (PBE) of a relaxed structure of VIn2Se.

Lattice parameters (Å, degrees): 6.372 6.372 6.372 102.54 102.54 124.45
Fractional positions:
V 0.000 0.000 0.000
V 0.750 0.250 0.500
In 0.127 0.125 0.502
In 0.375 0.873 0.998
In 0.623 0.625 0.498
In 0.875 0.377 0.002
Se 0.250 0.750 0.500
Se 0.500 0.500 0.000

Values from the calculation:
E above lowest polymorph   0 meV per atom
V   188.8 Å³/cell
ΔE_f (raw)   0.24 eV per atom
Total energy   -4.285 eV per atom
Magnetization   0.88 μB/atom
Space-group type   I-42d, No. 122
Crystal system   tetragonal


[20]
The following is a DFT calculation (PBE) of a relaxed structure of SrCuAg2.

Lattice parameters (Å, degrees): 4.383 4.326 4.755 90.00 90.72 90.00
Fractional positions:
Sr 0.000 0.000 0.000
Cu 0.500 0.500 0.000
Ag 0.000 0.500 0.500
Ag 0.500 0.000 0.500

Values from the calculation:
E above lowest polymorph   217 meV per atom
V   90.2 Å³/cell
Total energy   -2.764 eV per atom
Magnetization   0.00 μB/atom
Space-group type   P2/m, No. 10
Crystal system   monoclinic
Formation energy from the elements   0.4 eV per formula unit


[21]
The following is a DFT calculation (PBE) of a relaxed structure of LiSc4Rh3.

Lattice parameters (Å, degrees): 7.319 7.319 7.319 143.50 143.50 52.58
Fractional positions:
Li 0.000 0.000 0.000
Sc 0.128 0.628 0.500
Sc 0.372 0.872 0.500
Sc 0.628 0.128 0.500
Sc 0.872 0.372 0.500
Rh 0.247 0.247 0.000
Rh 0.500 0.500 0.000
Rh 0.753 0.753 0.000

Values from the calculation:
V   137.9 Å³/cell
Total energy   -6.937 eV per atom
Magnetization   0.00 μB/atom
Space-group type   I4/mmm, No. 139
Crystal system   tetragonal
Formation energy from the elements   -6.2 eV per formula unit


[22]
The following is a DFT calculation (PBE) of a relaxed structure of TmAl8.

Lattice parameters (Å, degrees): 6.611 6.611 6.611 95.51 95.51 143.89
Fractional positions:
Tm 0.000 0.000 0.000
Al 0.000 0.343 0.343
Al 0.000 0.657 0.657
Al 0.323 0.323 0.647
Al 0.323 0.677 0.000
Al 0.343 0.000 0.343
Al 0.657 0.000 0.657
Al 0.677 0.323 0.000
Al 0.677 0.677 0.353

Values from the calculation:
V   161.9 Å³/cell
Total energy   -3.922 eV per atom
Magnetization   0.00 μB/atom
Space-group type   I4/mmm, No. 139
Crystal system   tetragonal
Formation energy from the elements   -0.9 eV per formula unit


[23]
The following is a DFT calculation (PBE) of a relaxed structure of Cs3PSe3.

Lattice parameters (Å, degrees): 10.529 7.222 10.530 90.00 119.69 90.00
Fractional positions:
Cs 0.116 0.250 0.309
Cs 0.308 0.750 0.116
Cs 0.310 0.750 0.691
Cs 0.690 0.250 0.309
Cs 0.692 0.250 0.884
Cs 0.884 0.750 0.691
P 0.167 0.250 0.833
P 0.833 0.750 0.167
Se 0.089 0.750 0.295
Se 0.294 0.250 0.089
Se 0.296 0.250 0.705
Se 0.704 0.750 0.295
Se 0.706 0.750 0.911
Se 0.911 0.250 0.705

Values from the calculation:
V   695.6 Å³/cell
ΔE_f (raw)   -0.67 eV per atom
Total energy   -3.306 eV per atom
Magnetization   0.28 μB/atom
Space-group type   P2_1/m, No. 11
Crystal system   monoclinic